## Cs2TiWO6 (PBE+U)

Data for a relaxed Cs2TiWO6 crystal.

Lattice parameters (Å, degrees): 5.397 5.397 7.281 111.75 111.76 89.99
Fractional positions:
O  0.751  0.752  0.993
O  0.676  0.676  0.352
O  0.751  0.242  0.993
O  0.180  0.180  0.360
O  0.242  0.242  0.993
O  0.242  0.752  0.993
Cs  0.792  0.293  0.585
Cs  0.292  0.793  0.585
W  0.035  0.036  0.070
Ti  0.538  0.538  0.075

Computed properties:
Symmetry ... I4mm
Total magnetic moment ... 0.000 μB per formula unit
E ... -69.184 eV/cell
ρ ... 5457 kg/m3